Record 1
Material: ScVI
Method: DFT, PBE
State: relaxed

Cell and atoms, written as extended XYZ:
```
12
Lattice="14.937 0.000 0.000 0.000 5.159 0.000 -0.317 0.000 3.501" Properties=species:S:1:pos:R:3 pbc="T T T"
Sc 3.410 0.000 0.816
Sc 3.742 2.579 2.685
Sc 10.879 2.579 0.816
Sc 11.211 0.000 2.685
V 0.740 0.000 2.067
V 6.412 2.579 1.434
V 8.209 2.579 2.067
V 13.881 0.000 1.434
I 1.521 2.579 0.834
I 5.631 0.000 2.667
I 8.989 0.000 0.834
I 13.100 2.579 2.667
```

Values from the calculation:
calculated volume	269.8	Å³ per cell
final energy	-0.194	hartree per atom
energy relative to the elements, uncorrected	378	meV per atom

***

Record 2
Material: ScVW2I
Method: DFT, PBE
State: relaxed

Cell and atoms, written as extended XYZ:
```
5
Lattice="4.877 0.000 0.000 0.000 4.877 0.000 0.000 0.000 4.975" Properties=species:S:1:pos:R:3 pbc="T T T"
Sc 0.000 0.000 0.000
V 2.439 2.439 0.000
W 0.000 2.439 2.488
W 2.439 0.000 2.488
I 0.000 0.000 2.488
```

Values from the calculation:
calculated volume	118.4	Å³ per cell
final energy	-0.229	hartree per atom
energy relative to the elements, uncorrected	2357	meV per atom

***

Record 3
Material: ScWI2
Method: DFT, PBE
State: relaxed

Cell and atoms, written as extended XYZ:
```
16
Lattice="4.884 0.000 0.000 0.000 4.884 0.000 0.000 0.000 17.659" Properties=species:S:1:pos:R:3 pbc="T T T"
Sc 0.000 0.000 0.000
Sc 0.000 2.442 4.415
Sc 2.442 0.000 13.244
Sc 2.442 2.442 8.829
W 0.000 0.000 8.829
W 0.000 2.442 13.244
W 2.442 0.000 4.415
W 2.442 2.442 0.000
I 1.147 1.221 11.037
I 1.221 3.589 15.451
I 1.221 3.737 6.622
I 1.295 1.221 2.207
I 3.589 3.663 2.207
I 3.663 1.147 6.622
I 3.663 1.295 15.451
I 3.737 3.663 11.037
```

Values from the calculation:
calculated volume	421.3	Å³ per cell
final energy	-0.179	hartree per atom
E above lowest polymorph	22	meV per atom
energy relative to the elements, uncorrected	738	meV per atom